Below is a geometry-optimized BaCaCr2F8 structure, with properties calculated at the GGA+U level.

Unit cell a=6.351 b=6.351 c=7.382 alpha=90.00 beta=90.00 gamma=120.00
Fractional coordinates of all 12 atoms:
Ba (0.000, 0.000, 0.000)
Ca (0.000, 0.000, 0.500)
Cr (0.333, 0.667, 0.225)
Cr (0.667, 0.333, 0.775)
F (0.151, 0.301, 0.291)
F (0.151, 0.849, 0.291)
F (0.301, 0.151, 0.709)
F (0.333, 0.667, 0.967)
F (0.667, 0.333, 0.033)
F (0.699, 0.849, 0.291)
F (0.849, 0.151, 0.709)
F (0.849, 0.699, 0.709)

## Properties
Magnetic moment ... 8.0 μB per cell
DOS(E_F) ... 0.0 states/eV/cell
Space-group type ... P-3m1, No. 164
E ... -5.83 eV/atom